! Li2UTe4 | the Alexandria database | PBE | relaxed; values from VASP
! energy relative to the elements, uncorrected	-0.6177	eV/atom
! space-group type	No. 74
&SYSTEM
  ibrav = 0, nat = 14, ntyp = 3
/
ATOMIC_SPECIES
Li 6.94 Li.upf
Te 127.60 Te.upf
U 238.03 U.upf
ATOMIC_POSITIONS angstrom
Li 4.603 0.000 0.000
Li 4.603 2.484 4.559
Li 9.207 4.078 2.909
Li 13.810 5.671 1.258
Te 9.207 6.266 4.908
Te 7.361 2.503 4.573
Te 11.052 5.652 1.245
Te 9.207 1.890 0.910
Te 13.810 5.553 4.399
Te 11.052 2.503 4.573
Te 7.361 5.652 1.245
Te 4.603 2.603 1.418
U 6.905 3.357 -0.393
U 2.302 3.357 -0.393
CELL_PARAMETERS angstrom
9.207 0.000 0.000
4.603 6.713 -0.786
4.603 1.442 6.603